Entry 1:
# Th12Tc6Sb PBE-GGA relaxed
# **SG**: Im-3, No. 204
# **Total magnetization**: 0.00 μB per cell
# **Total energy**: -0.608 Ry per atom
data_Th12Tc6Sb
_chemical_formula_sum 'Th12 Tc6 Sb1'
_space_group_name_H-M_alt 'P 1'
_space_group_IT_number 1
_cell_length_a 8.7650
_cell_length_b 8.7650
_cell_length_c 8.7650
_cell_angle_alpha 109.47
_cell_angle_beta 109.47
_cell_angle_gamma 109.47
loop_
_space_group_symop_operation_xyz
'x,y,z'
loop_
_atom_site_label
_atom_site_type_symbol
_atom_site_fract_x
_atom_site_fract_y
_atom_site_fract_z
Th1 Th 0.3042 0.1201 0.8159
Th2 Th 0.3042 0.4884 0.1841
Th3 Th 0.6958 0.5116 0.8159
Th4 Th 0.6958 0.8799 0.1841
Th5 Th 0.1201 0.8159 0.3042
Th6 Th 0.4884 0.1841 0.3042
Th7 Th 0.5116 0.8159 0.6958
Th8 Th 0.8799 0.1841 0.6958
Th9 Th 0.8159 0.3042 0.1201
Th10 Th 0.1841 0.3042 0.4884
Th11 Th 0.8159 0.6958 0.5116
Th12 Th 0.1841 0.6958 0.8799
Tc1 Tc 0.3581 0.5000 0.8581
Tc2 Tc 0.6419 0.5000 0.1419
Tc3 Tc 0.5000 0.8581 0.3581
Tc4 Tc 0.5000 0.1419 0.6419
Tc5 Tc 0.8581 0.3581 0.5000
Tc6 Tc 0.1419 0.6419 0.5000
Sb1 Sb 0.0000 0.0000 0.0000



Entry 2:
# Th3TcSb2 PBE-GGA relaxed
# **SG**: Immm, No. 71
# **Total magnetization**: 0.00 μB per cell
# **Relative energy among the computed polymorphs**: 77 meV per atom
# **Total energy**: -0.541 Ry per atom
data_Th3TcSb2
_chemical_formula_sum 'Th3 Tc1 Sb2'
_space_group_name_H-M_alt 'P 1'
_space_group_IT_number 1
_cell_length_a 4.2611
_cell_length_b 6.2207
_cell_length_c 7.7638
_cell_angle_alpha 113.62
_cell_angle_beta 105.93
_cell_angle_gamma 90.00
loop_
_space_group_symop_operation_xyz
'x,y,z'
loop_
_atom_site_label
_atom_site_type_symbol
_atom_site_fract_x
_atom_site_fract_y
_atom_site_fract_z
Th1 Th 0.3612 0.3612 0.7224
Th2 Th 0.0000 0.0000 0.0000
Th3 Th 0.6388 0.6388 0.2776
Tc1 Tc 0.0000 0.5000 0.0000
Sb1 Sb 0.6795 0.1795 0.3589
Sb2 Sb 0.3205 0.8205 0.6411